Density functional theory data (PBE) for crystalline Pu4ZnN5 at its relaxed geometry.

Computed properties:
DOS at the Fermi energy (states/eV per cell): 23.08
Formation energy without anion corrections (eV per atom): -0.970
Uncorrected energy (eV/atom): -10.993

Cell: 3.482 3.482 13.668 Å, 82.68 82.68 60.00°
Positions (direct):
N 0.404 0.404 0.789
N 0.801 0.801 0.596
N 0.199 0.199 0.404
N 0.596 0.596 0.211
N 0.000 0.000 0.000
Pu 0.893 0.893 0.320
Pu 0.702 0.702 0.894
Pu 0.107 0.107 0.680
Pu 0.298 0.298 0.106
Zn 0.500 0.500 0.500

Density functional theory data (PBE) for crystalline K2AsS2 at its relaxed geometry.

Computed properties:
DOS at the Fermi energy (states/eV per cell): 4.52
Formation energy without anion corrections (eV per atom): -0.519
Uncorrected energy (eV/atom): -3.539
ΔE to the lowest computed polymorph (meV per atom): 211

Cell: 7.305 7.305 4.736 Å, 90.00 90.00 90.00°
Positions (direct):
S 0.319 0.819 0.000
S 0.181 0.319 0.000
S 0.681 0.181 0.000
S 0.819 0.681 0.000
As 0.500 0.500 0.000
As 0.000 0.000 0.000
K 0.643 0.857 0.500
K 0.857 0.357 0.500
K 0.357 0.143 0.500
K 0.143 0.643 0.500

Density functional theory data (PBE) for crystalline PmScCuPd at its relaxed geometry.

Computed properties:
DOS at the Fermi energy (states/eV per cell): 2.63
Uncorrected energy (eV/atom): -5.592
ΔE to the lowest computed polymorph (meV per atom): 0

Cell: 3.620 4.468 5.552 Å, 90.00 109.03 90.00°
Positions (direct):
Sc 0.136 0.000 0.271
Pd 0.581 0.500 0.163
Cu 0.427 0.000 0.853
Pm 0.856 0.500 0.713

Density functional theory data (PBE) for crystalline DyUTcC3 at its relaxed geometry.

Computed properties:
DOS at the Fermi energy (states/eV per cell): 6.50
Uncorrected energy (eV/atom): -8.952

Cell: 3.591 7.032 7.724 Å, 92.86 90.00 90.00°
Positions (direct):
U 0.250 0.629 0.169
U 0.750 0.371 0.831
C 0.750 0.176 0.513
C 0.250 0.824 0.487
C 0.250 0.586 0.879
C 0.750 0.414 0.121
C 0.250 0.140 0.851
C 0.750 0.860 0.149
Tc 0.750 0.896 0.408
Tc 0.250 0.104 0.592
Dy 0.750 0.855 0.838
Dy 0.250 0.145 0.162

Density functional theory data (PBE) for crystalline ScGaTc2H at its relaxed geometry.

Computed properties:
DOS at the Fermi energy (states/eV per cell): 4.62
Uncorrected energy (eV/atom): -6.706
ΔE to the lowest computed polymorph (meV per atom): 163

Cell: 3.967 4.192 3.967 Å, 90.00 90.00 90.00°
Positions (direct):
Tc 0.500 0.000 0.000
Tc 0.000 0.000 0.500
Ga 0.000 0.500 0.000
Sc 0.500 0.500 0.500
H 0.000 0.000 0.000

Density functional theory data (PBE) for crystalline FeCoRu at its relaxed geometry.

Computed properties:
DOS at the Fermi energy (states/eV per cell): 3.70
Uncorrected energy (eV/atom): -8.144
ΔE to the lowest computed polymorph (meV per atom): 12

Cell: 4.430 4.430 4.430 Å, 146.10 131.85 60.19°
Positions (direct):
Ru 0.665 0.665 0.000
Co 0.000 0.000 0.000
Fe 0.335 0.335 0.000

Density functional theory data (PBE) for crystalline GaS2Cl2 at its relaxed geometry.

Computed properties:
Formation energy without anion corrections (eV per atom): -0.381
Uncorrected energy (eV/atom): -3.376

Cell: 8.063 8.118 6.972 Å, 71.10 54.67 55.94°
Positions (direct):
Ga 0.831 0.500 0.339
Ga 0.169 0.500 0.661
Cl 0.516 0.272 0.427
Cl 0.484 0.728 0.573
Cl 0.058 0.728 0.427
Cl 0.942 0.272 0.573
S 0.898 0.752 0.000
S 0.742 0.623 0.000
S 0.102 0.248 0.000
S 0.258 0.377 0.000

Density functional theory data (PBE) for crystalline BeZnTe2 at its relaxed geometry.

Computed properties:
DOS at the Fermi energy (states/eV per cell): 0.00
Formation energy without anion corrections (eV per atom): -0.400
Uncorrected energy (eV/atom): -3.221
ΔE to the lowest computed polymorph (meV per atom): 7

Cell: 7.231 7.282 4.174 Å, 90.00 73.23 99.25°
Positions (direct):
Be 0.461 0.999 0.989
Be 0.950 0.236 0.244
Te 0.822 0.069 0.808
Te 0.841 0.538 0.298
Te 0.353 0.825 0.543
Te 0.311 0.283 0.063
Zn 0.452 0.487 0.493
Zn 0.963 0.749 0.737

Q: Look up the uncorrected energy of the fourth one.
A: -8.952 eV/atom